BeH3Os: relaxed, PBE.

Lattice parameters (Å, degrees): 3.371 3.371 3.371 90.00 90.00 90.00
Atoms (fractional coordinates):
Be 0.000 0.000 0.000
H 0.000 0.500 0.500
H 0.500 0.000 0.500
H 0.500 0.500 0.000
Os 0.500 0.500 0.500

Properties
Distance to the lowest polymorph of the same formula   0.000 eV per atom
Magnetization   0.0 μB/f.u.
DOS at the Fermi energy   1.65 states/eV/cell
VASP energy   -22.45 eV per cell


Be3HOs: relaxed, PBE.

Lattice parameters (Å, degrees): 4.251 4.251 4.251 90.00 90.00 90.00
Atoms (fractional coordinates):
Be 0.000 0.000 0.500
Be 0.000 0.500 0.000
Be 0.500 0.000 0.000
H 0.500 0.500 0.500
Os 0.000 0.000 0.000

Properties
Distance to the lowest polymorph of the same formula   1.382 eV per atom
Magnetization   0.4 μB/f.u.
DOS at the Fermi energy   2.24 states/eV/cell
VASP energy   -18.80 eV per cell


BeH3Os: relaxed, PBE.

Lattice parameters (Å, degrees): 3.111 3.111 3.111 90.00 90.00 90.00
Atoms (fractional coordinates):
Be 0.000 0.000 0.000
H 0.000 0.000 0.500
H 0.000 0.500 0.000
H 0.500 0.000 0.000
Os 0.500 0.500 0.500

Properties
Distance to the lowest polymorph of the same formula   0.276 eV per atom
Magnetization   0.0 μB/f.u.
DOS at the Fermi energy   2.31 states/eV/cell
VASP energy   -21.07 eV per cell


Be2H5Os: relaxed, PBE.

Lattice parameters (Å, degrees): 4.363 4.363 3.662 114.64 114.64 83.79
Atoms (fractional coordinates):
Be 0.204 0.796 0.000
Be 0.796 0.204 0.000
H 0.117 0.533 0.325
H 0.121 0.121 0.632
H 0.487 0.487 0.984
H 0.533 0.117 0.325
H 0.757 0.757 0.758
Os 0.811 0.811 0.311

Properties
Magnetization   0.0 μB/f.u.
DOS at the Fermi energy   0.48 states/eV/cell
VASP energy   -35.45 eV per cell


Be3HOs: relaxed, PBE.

Lattice parameters (Å, degrees): 3.433 3.433 3.433 90.00 90.00 90.00
Atoms (fractional coordinates):
Be 0.000 0.000 0.500
Be 0.000 0.500 0.000
Be 0.500 0.000 0.000
H 0.000 0.000 0.000
Os 0.500 0.500 0.500

Properties
Distance to the lowest polymorph of the same formula   0.000 eV per atom
Magnetization   0.6 μB/f.u.
DOS at the Fermi energy   2.95 states/eV/cell
VASP energy   -25.71 eV per cell


BeHOs3: relaxed, PBE.

Lattice parameters (Å, degrees): 3.845 3.845 3.845 90.00 90.00 90.00
Atoms (fractional coordinates):
Be 0.000 0.000 0.000
H 0.500 0.500 0.500
Os 0.000 0.500 0.500
Os 0.500 0.000 0.500
Os 0.500 0.500 0.000

Properties
Distance to the lowest polymorph of the same formula   0.000 eV per atom
Magnetization   0.0 μB/f.u.
DOS at the Fermi energy   3.75 states/eV/cell
VASP energy   -38.18 eV per cell


BePH2Os: relaxed, PBE.

Lattice parameters (Å, degrees): 3.214 3.214 4.866 90.00 90.00 90.00
Atoms (fractional coordinates):
Be 0.000 0.000 0.000
P 0.500 0.500 0.500
H 0.000 0.500 0.500
H 0.500 0.000 0.500
Os 0.500 0.500 0.000

Properties
Magnetization   0.0 μB/f.u.
DOS at the Fermi energy   1.59 states/eV/cell
VASP energy   -24.94 eV per cell


Be2HOsPt: relaxed, PBE.

Lattice parameters (Å, degrees): 3.899 3.899 3.284 90.00 90.00 90.00
Atoms (fractional coordinates):
Be 0.000 0.500 0.000
Be 0.500 0.000 0.000
H 0.000 0.000 0.000
Os 0.000 0.000 0.500
Pt 0.500 0.500 0.500

Properties
Magnetization   0.0 μB/f.u.
DOS at the Fermi energy   2.86 states/eV/cell
VASP energy   -28.52 eV per cell